Record 1
Entry from the Alexandria database: crystalline CdSi2Ni at its relaxed geometry (PBE).

a b c (Å): 6.2995 6.2995 6.2995
angles (deg): 90.00 90.00 90.00
With the nearest neighbours (Å) after each atom.
Space group F-43m (No. 216)
Symmetry-distinct sites (fractional):
Cd: 0.0000 0.0000 0.0000 x4  4 Ni 2.73, 4 Si 2.73
Si: 0.0000 0.0000 0.5000 x4  4 Si 2.73, 4 Ni 2.73
Si: 0.2500 0.2500 0.7500 x4  4 Cd 2.73, 4 Si 2.73
Ni: 0.2500 0.2500 0.2500 x4  4 Cd 2.73, 4 Si 2.73

- Raw formation energy: 0.444 eV/atom
- DOS at the Fermi energy: 0.543 states/eV/atom
- Spin magnetization: 0.00 μB/cell
- Total energy: -0.145 Ha/atom

Record 2
Entry from the Alexandria database: crystalline Sc2TlPb at its relaxed geometry (PBE).

a b c (Å): 6.6561 8.6631 3.3308
angles (deg): 90.00 90.00 90.00
With the nearest neighbours (Å) after each atom.
Space group Cmmm (No. 65)
Symmetry-distinct sites (fractional):
Sc: 0.2500 0.2500 0.0000 x4  4 Tl 3.20, 4 Pb 3.20, 4 Sc 3.33
Tl: 0.0000 0.0000 0.5000 x2  8 Sc 3.20, 2 Pb 3.33, 2 Tl 3.33
Pb: 0.0000 0.5000 0.5000 x2  8 Sc 3.20, 2 Tl 3.33, 2 Pb 3.33

- DOS at the Fermi energy: 0.777 states/eV/atom
- Spin magnetization: 2.08 μB/cell
- Offset from the most stable computed form: 0.037 eV per atom
- Total energy: -0.183 Ha/atom

Record 3
Entry from the Alexandria database: crystalline BaSbTe2As at its relaxed geometry (PBE).

a b c (Å): 6.3652 6.3652 6.4944
angles (deg): 90.00 90.00 90.00
With the nearest neighbours (Å) after each atom.
Space group P4/mmm (No. 123)
Symmetry-distinct sites (fractional):
Ba: 0.0000 0.0000 0.0000 x1  4 Te 3.18, 2 Sb 3.25
Sb: 0.0000 0.0000 0.5000 x1  2 Ba 3.25
Te: 0.0000 0.5000 0.0000 x2  2 Ba 3.18
As: 0.5000 0.5000 0.5000 x1  4 Sb 4.50, 8 Te 4.55

- Raw formation energy: 0.999 eV/atom
- DOS at the Fermi energy: 2.226 states/eV/atom
- Spin magnetization: 0.82 μB/cell
- Offset from the most stable computed form: 1.361 eV per atom
- Total energy: -0.088 Ha/atom

Record 4
Entry from the Alexandria database: crystalline MnSb3Ru at its relaxed geometry (PBE).

a b c (Å): 4.8375 4.8375 4.8375
angles (deg): 90.00 90.00 90.00
With the nearest neighbours (Å) after each atom.
Space group Pm-3m (No. 221)
Symmetry-distinct sites (fractional):
Mn: 0.0000 0.0000 0.0000 x1  6 Sb 2.42
Sb: 0.0000 0.0000 0.5000 x3  2 Mn 2.42
Ru: 0.5000 0.5000 0.5000 x1  12 Sb 3.42

- Raw formation energy: 0.931 eV/atom
- DOS at the Fermi energy: 0.483 states/eV/atom
- Spin magnetization: 0.00 μB/cell
- Offset from the most stable computed form: 0.000 eV per atom
- Total energy: -0.192 Ha/atom

Record 5
Entry from the Alexandria database: crystalline Al2RePd at its relaxed geometry (PBE).

a b c (Å): 4.2746 4.2746 3.1312
angles (deg): 90.00 90.00 90.00
With the nearest neighbours (Å) after each atom.
Space group P4/mmm (No. 123)
Symmetry-distinct sites (fractional):
Al: 0.0000 0.5000 0.0000 x2  4 Pd 2.65, 4 Re 2.65
Re: 0.0000 0.0000 0.5000 x1  8 Al 2.65
Pd: 0.5000 0.5000 0.5000 x1  8 Al 2.65

- DOS at the Fermi energy: 0.587 states/eV/atom
- Spin magnetization: 0.00 μB/cell
- Offset from the most stable computed form: 0.000 eV per atom
- Total energy: -0.249 Ha/atom

Record 6
Entry from the Alexandria database: crystalline Cu2AsPb2 at its relaxed geometry (PBE).

a b c (Å): 3.5708 3.5708 17.1728
angles (deg): 90.00 90.00 90.00
With the nearest neighbours (Å) after each atom.
Space group I4/mmm (No. 139)
Symmetry-distinct sites (fractional):
Cu: 0.0000 0.5000 0.2500 x4  4 Cu 2.52
As: 0.0000 0.0000 0.0000 x2  8 Pb 3.13
Pb: 0.0000 0.0000 0.3924 x4  4 Cu 3.03, 4 As 3.13

- DOS at the Fermi energy: 0.423 states/eV/atom
- Spin magnetization: 0.00 μB/cell
- Offset from the most stable computed form: 0.095 eV per atom
- Total energy: -0.139 Ha/atom